1.
A relaxed La2SmErP4 crystal, computed with PBE-GGA.

symmetry	No. 10
calculated formation energy	-1.569	eV per atom

a b c (Å): 4.160 7.199 7.200
angles (deg): 109.45 90.00 90.00
Element x y z (fractional)
P: 0.000 0.742 0.237
P: 0.000 0.258 0.763
P: 0.500 0.250 0.239
La: 0.500 0.000 0.500
P: 0.500 0.750 0.761
Sm: 0.000 0.000 0.000
La: 0.000 0.500 0.500
Er: 0.500 0.500 0.000

***

2.
A relaxed PmHoBiPb crystal, computed with PBE-GGA.

symmetry	No. 10
calculated formation energy	-0.609	eV per atom
E above lowest polymorph	0.00	kcal/mol of atoms

a b c (Å): 4.514 4.508 6.367
angles (deg): 90.16 90.00 90.00
Element x y z (fractional)
Ho: 0.000 0.892 0.592
Pm: 0.500 0.391 0.093
Pb: 0.000 0.891 0.092
Bi: 0.500 0.392 0.593

***

3.
A relaxed Sc8AgRh2 crystal, computed with PBE-GGA.

symmetry	No. 8
calculated formation energy	-0.340	eV per atom

a b c (Å): 5.097 7.338 7.338
angles (deg): 113.91 98.37 98.37
Element x y z (fractional)
Ag: 0.000 0.002 0.002
Sc: 0.588 0.077 0.330
Sc: 0.000 0.243 0.764
Rh: 0.499 0.694 0.312
Sc: 0.000 0.764 0.243
Rh: 0.499 0.312 0.694
Sc: 0.813 0.623 0.623
Sc: 0.588 0.330 0.077
Sc: 0.413 0.930 0.676
Sc: 0.413 0.676 0.930
Sc: 0.187 0.382 0.382